## NaTl3V2F9 (PBE with a Hubbard U)

Data for an optimized crystal structure of NaTl3V2F9.

Unit cell a=6.0684 b=6.0684 c=7.4328 alpha=90.00 beta=90.00 gamma=120.00
Sites, in units of the cell vectors:
Na: 0.0000 0.0000 0.5000
Tl: 0.3333 0.6667 0.6413
Tl: 0.0000 0.0000 0.0000
Tl: 0.6667 0.3333 0.3587
V: 0.3333 0.6667 0.1557
V: 0.6667 0.3333 0.8443
F: 0.8228 0.1772 0.6862
F: 0.8228 0.6457 0.6862
F: 0.3543 0.1772 0.6862
F: 0.6457 0.8228 0.3138
F: 0.1772 0.3543 0.3138
F: 0.1772 0.8228 0.3138
F: 0.5000 0.0000 0.0000
F: 0.0000 0.5000 0.0000
F: 0.5000 0.5000 0.0000

- DOS at the Fermi energy (states/eV per atom) = 0.527
- spin magnetization (μB/f.u.) = 5.00
- symmetry = No. 164
- total energy (eV/atom) = -5.07

=====

## Na2TlVF8 (PBE with a Hubbard U)

Data for an optimized crystal structure of Na2TlVF8.

Unit cell a=5.0640 b=5.1286 c=6.8424 alpha=90.00 beta=90.00 gamma=92.05
Sites, in units of the cell vectors:
Na: 0.5000 0.5000 0.7650
Na: 0.5000 0.5000 0.2350
Tl: 0.0000 0.0000 0.5000
V: 0.0000 0.0000 0.0000
F: 0.1811 0.8224 0.2248
F: 0.7292 0.7281 0.0000
F: 0.8188 0.1776 0.2247
F: 0.8189 0.1776 0.7752
F: 0.2708 0.2719 0.0000
F: 0.1812 0.8224 0.7753
F: 0.7020 0.7030 0.5000
F: 0.2980 0.2970 0.5000

- spin magnetization (μB/f.u.) = 2.00
- symmetry = No. 10
- total energy (eV/atom) = -4.81

=====

## NaTlVF6 (PBE with a Hubbard U)

Data for an optimized crystal structure of NaTlVF6.

Unit cell a=5.7510 b=5.7824 c=5.7215 alpha=89.90 beta=89.93 gamma=59.69
Sites, in units of the cell vectors:
Na: 0.6657 0.6663 0.4998
Tl: 0.0104 0.9959 0.9999
V: 0.3349 0.3326 0.5001
F: 0.0584 0.3476 0.3113
F: 0.3479 0.0536 0.6881
F: 0.5878 0.3529 0.6922
F: 0.0580 0.5940 0.6879
F: 0.3478 0.5980 0.3115
F: 0.5889 0.0591 0.3093

- DOS at the Fermi energy (states/eV per atom) = 0.000
- spin magnetization (μB/f.u.) = 1.00
- symmetry = No. 1
- total energy (eV/atom) = -5.09

=====

## Na2Tl3VF9 (PBE with a Hubbard U)

Data for an optimized crystal structure of Na2Tl3VF9.

Unit cell a=6.2377 b=6.2377 c=7.5496 alpha=90.00 beta=90.00 gamma=120.00
Sites, in units of the cell vectors:
Na: 0.3333 0.6667 0.1926
Na: 0.6667 0.3333 0.8074
Tl: 0.3333 0.6667 0.7512
Tl: 0.0000 0.0000 0.0000
Tl: 0.6667 0.3333 0.2488
V: 0.0000 0.0000 0.5000
F: 0.8562 0.1438 0.6425
F: 0.8562 0.7123 0.6425
F: 0.2877 0.1438 0.6425
F: 0.7123 0.8562 0.3575
F: 0.1438 0.2877 0.3575
F: 0.1438 0.8562 0.3575
F: 0.5000 0.0000 0.0000
F: 0.0000 0.5000 0.0000
F: 0.5000 0.5000 0.0000

- DOS at the Fermi energy (states/eV per atom) = 0.000
- spin magnetization (μB/f.u.) = 0.99
- symmetry = No. 164
- total energy (eV/atom) = -4.67

=====

## NaTlVF2 (PBE with a Hubbard U)

Data for an optimized crystal structure of NaTlVF2.

Unit cell a=4.2432 b=6.3425 c=4.2432 alpha=90.00 beta=90.00 gamma=90.00
Sites, in units of the cell vectors:
Na: 0.5000 0.5000 0.5000
Tl: 0.0000 0.5000 0.0000
F: 0.0000 0.0000 0.5000
F: 0.5000 0.0000 0.0000
V: 0.0000 0.0000 0.0000

- DOS at the Fermi energy (states/eV per atom) = 0.584
- spin magnetization (μB/f.u.) = 3.33
- symmetry = No. 123
- total energy (eV/atom) = -4.20

=====

## NaTl2WF6 (PBE with a Hubbard U)

Data for an optimized crystal structure of NaTl2WF6.

Unit cell a=6.2752 b=6.2345 c=8.8243 alpha=90.00 beta=89.89 gamma=90.00
Sites, in units of the cell vectors:
Na: 0.5000 0.0000 0.0000
Na: 0.0000 0.5000 0.5000
Tl: 0.9966 0.9926 0.2498
Tl: 0.4966 0.5074 0.7498
Tl: 0.0034 0.0074 0.7502
Tl: 0.5034 0.4926 0.2502
W: 0.5000 0.0000 0.5000
W: 0.0000 0.5000 0.0000
F: 0.2263 0.7510 0.9751
F: 0.7263 0.7490 0.4751
F: 0.7737 0.2490 0.0249
F: 0.2737 0.2510 0.5249
F: 0.2493 0.7735 0.5237
F: 0.7493 0.7265 0.0237
F: 0.7507 0.2265 0.4763
F: 0.2507 0.2735 0.9763
F: 0.0439 0.5032 0.2383
F: 0.5439 0.9968 0.7383
F: 0.9561 0.4968 0.7617
F: 0.4561 0.0032 0.2617

- DOS at the Fermi energy (states/eV per atom) = 0.000
- spin magnetization (μB/f.u.) = 3.00
- symmetry = No. 14
- total energy (eV/atom) = -4.81

=====

Question: total energy of number 5 (NaTlVF2)?
Answer: -4.20 eV/atom